[1]
Below is a geometry-optimized Ac6TbIn5 structure, with properties calculated at the PBE level.

Values from the calculation:
D(E_F)   12.8 states/eV per cell
Formation enthalpy at 0 K   -0.31 eV per atom

Cell lengths 9.8834, 9.8834, 9.8834 Å; angles 147.88, 123.96, 66.08 degrees
Fractional positions:
Ac1 0.0676 0.3281 0.7395
Ac2 0.2308 0.0000 0.2308
Ac3 0.4114 0.6719 0.7395
Ac4 0.5886 0.3281 0.2605
Ac5 0.7692 0.0000 0.7692
Ac6 0.9324 0.6719 0.2605
Tb1 0.5000 0.5000 0.0000
In1 0.0000 0.5000 0.5000
In2 0.1706 0.1706 0.0000
In3 0.3518 0.8518 0.5000
In4 0.6482 0.1482 0.5000
In5 0.8294 0.8294 0.0000

[2]
Below is a geometry-optimized Re3Se structure, with properties calculated at the PBE level.

Values from the calculation:
Polymorph energy (0 for the lowest one)   0.5719 eV/atom
Energy relative to the elements, uncorrected   0.8784 eV/atom
D(E_F)   6.1 states/eV per cell

Cell lengths 5.7864, 5.7864, 4.2984 Å; angles 90.00, 90.00, 120.00 degrees
Fractional positions:
Re1 0.1631 0.3263 0.2500
Re2 0.1631 0.8369 0.2500
Re3 0.3263 0.1631 0.7500
Re4 0.6737 0.8369 0.2500
Re5 0.8369 0.1631 0.7500
Re6 0.8369 0.6737 0.7500
Se1 0.3333 0.6667 0.7500
Se2 0.6667 0.3333 0.2500

[3]
Below is a geometry-optimized Zn2CdIr structure, with properties calculated at the PBE level.

Values from the calculation:
D(E_F)   2.1 states/eV per cell
Formation enthalpy at 0 K   0.06 eV per atom

Cell lengths 2.8551, 2.8551, 9.2883 Å; angles 90.00, 90.00, 119.29 degrees
Fractional positions:
Zn1 0.0000 0.0000 0.2277
Zn2 0.0000 0.0000 0.7723
Cd1 0.5000 0.5000 0.5000
Ir1 0.5000 0.5000 0.0000

[4]
Below is a geometry-optimized ZnHgOs2 structure, with properties calculated at the PBE level.

Values from the calculation:
Polymorph energy (0 for the lowest one)   0.4180 eV/atom
D(E_F)   4.0 states/eV per cell
Formation enthalpy at 0 K   0.70 eV per atom

Cell lengths 2.8450, 4.7066, 4.7594 Å; angles 90.00, 90.00, 90.00 degrees
Fractional positions:
Zn1 0.0000 0.0000 0.0000
Hg1 0.5000 0.5000 0.0000
Os1 0.0000 0.5000 0.5000
Os2 0.5000 0.0000 0.5000

[5]
Below is a geometry-optimized AcTmIn2Hg2 structure, with properties calculated at the PBE level.

Values from the calculation:
D(E_F)   3.7 states/eV per cell
Formation enthalpy at 0 K   -0.44 eV per atom

Cell lengths 4.9385, 4.9385, 7.8440 Å; angles 90.00, 90.00, 120.00 degrees
Fractional positions:
Ac1 0.0000 0.0000 0.0000
Tm1 0.0000 0.0000 0.5000
In1 0.3333 0.6667 0.2623
In2 0.6667 0.3333 0.7377
Hg1 0.3333 0.6667 0.6857
Hg2 0.6667 0.3333 0.3143

[6]
Below is a geometry-optimized TaTlNi2 structure, with properties calculated at the PBE level.

Values from the calculation:
Polymorph energy (0 for the lowest one)   0.3948 eV/atom
D(E_F)   3.8 states/eV per cell
Formation enthalpy at 0 K   0.41 eV per atom

Cell lengths 4.5006, 2.9464, 5.2083 Å; angles 90.00, 111.74, 90.00 degrees
Fractional positions:
Ta1 0.0000 0.0000 0.0000
Tl1 0.0000 0.5000 0.5000
Ni1 0.5000 0.0000 0.5000
Ni2 0.5000 0.5000 0.0000

[7]
Below is a geometry-optimized Li2TcW structure, with properties calculated at the PBE level.

Values from the calculation:
Polymorph energy (0 for the lowest one)   0.0699 eV/atom
D(E_F)   1.8 states/eV per cell
Formation enthalpy at 0 K   0.29 eV per atom

Cell lengths 2.5732, 4.3287, 5.5237 Å; angles 90.00, 97.11, 90.00 degrees
Fractional positions:
Li1 0.0000 0.0000 0.0000
Li2 0.1490 0.5000 0.7768
Tc1 0.7097 0.5000 0.2863
W1 0.4722 0.0000 0.4838

[8]
Below is a geometry-optimized Ba2BeBr structure, with properties calculated at the PBE level.

Values from the calculation:
Polymorph energy (0 for the lowest one)   0.1750 eV/atom
Energy relative to the elements, uncorrected   -0.2963 eV/atom
D(E_F)   9.5 states/eV per cell

Cell lengths 7.6745, 7.6745, 7.6745 Å; angles 113.19, 113.19, 102.27 degrees
Fractional positions:
Ba1 0.1099 0.6250 0.9849
Ba2 0.3750 0.3599 0.4849
Ba3 0.6401 0.1250 0.0151
Ba4 0.8750 0.8901 0.5151
Be1 0.0000 0.0000 0.0000
Be2 0.7500 0.2500 0.5000
Br1 0.2500 0.7500 0.5000
Br2 0.5000 0.5000 0.0000

[9]
Below is a geometry-optimized Pm2OF4 structure, with properties calculated at the PBE level.

Values from the calculation:
Energy relative to the elements, uncorrected   -3.8503 eV/atom
D(E_F)   0.0 states/eV per cell

Cell lengths 6.9524, 6.9524, 4.0870 Å; angles 90.00, 90.00, 90.00 degrees
Fractional positions:
Pm1 0.2218 0.2218 0.0000
Pm2 0.2782 0.7218 0.5000
Pm3 0.7218 0.2782 0.5000
Pm4 0.7782 0.7782 0.0000
O1 0.0000 0.0000 0.0000
O2 0.5000 0.5000 0.5000
F1 0.0627 0.3193 0.5000
F2 0.1807 0.5627 0.0000
F3 0.3193 0.0627 0.5000
F4 0.4373 0.8193 0.0000
F5 0.5627 0.1807 0.0000
F6 0.6807 0.9373 0.5000
F7 0.8193 0.4373 0.0000
F8 0.9373 0.6807 0.5000

[10]
Below is a geometry-optimized Dy2U2Fe3 structure, with properties calculated at the PBE level.

Values from the calculation:
D(E_F)   8.1 states/eV per cell
Formation enthalpy at 0 K   0.01 eV per atom

Cell lengths 4.1281, 4.4023, 8.1143 Å; angles 100.19, 97.52, 103.61 degrees
Fractional positions:
Dy1 0.2341 0.1891 0.3896
Dy2 0.7659 0.8109 0.6104
U1 0.2220 0.5824 0.8733
U2 0.7780 0.4176 0.1267
Fe1 0.0000 0.0000 0.0000
Fe2 0.4459 0.2116 0.7853
Fe3 0.5541 0.7884 0.2147

[11]
Below is a geometry-optimized RbBa2GeTe structure, with properties calculated at the PBE level.

Values from the calculation:
Energy relative to the elements, uncorrected   0.5211 eV/atom
D(E_F)   2.7 states/eV per cell

Cell lengths 6.7973, 6.7973, 6.0019 Å; angles 90.00, 90.00, 90.00 degrees
Fractional positions:
Rb1 0.0000 0.0000 0.0000
Ba1 0.0000 0.5000 0.0000
Ba2 0.5000 0.0000 0.0000
Ge1 0.5000 0.5000 0.5000
Te1 0.0000 0.0000 0.5000

[12]
Below is a geometry-optimized La4Cd2Co structure, with properties calculated at the PBE level.

Values from the calculation:
Polymorph energy (0 for the lowest one)   0.0000 eV/atom
D(E_F)   11.0 states/eV per cell
Formation enthalpy at 0 K   -0.14 eV per atom

Cell lengths 9.0557, 9.0557, 9.0557 Å; angles 146.45, 146.45, 48.17 degrees
Fractional positions:
La1 0.0000 0.5000 0.5000
La2 0.1755 0.1755 0.0000
La3 0.5000 0.0000 0.5000
La4 0.8245 0.8245 0.0000
Cd1 0.3671 0.3671 0.0000
Cd2 0.6329 0.6329 0.0000
Co1 0.0000 0.0000 0.0000

[13]
Below is a geometry-optimized Co2MoAu structure, with properties calculated at the PBE level.

Values from the calculation:
D(E_F)   4.9 states/eV per cell
Formation enthalpy at 0 K   0.28 eV per atom

Cell lengths 8.8932, 8.8932, 8.8932 Å; angles 17.61, 17.61, 17.61 degrees
Fractional positions:
Co1 0.2457 0.2457 0.2457
Co2 0.7543 0.7543 0.7543
Mo1 0.5000 0.5000 0.5000
Au1 0.0000 0.0000 0.0000

[14]
Below is a geometry-optimized SmSn2Hg2 structure, with properties calculated at the PBE level.

Values from the calculation:
Polymorph energy (0 for the lowest one)   0.2681 eV/atom
D(E_F)   8.9 states/eV per cell
Formation enthalpy at 0 K   -0.08 eV per atom

Cell lengths 5.1740, 5.1740, 12.6162 Å; angles 90.00, 90.00, 120.00 degrees
Fractional positions:
Sm1 0.0000 0.0000 0.2500
Sm2 0.0000 0.0000 0.7500
Sn1 0.0000 0.0000 0.0000
Sn2 0.0000 0.0000 0.5000
Sn3 0.3333 0.6667 0.2500
Sn4 0.6667 0.3333 0.7500
Hg1 0.3333 0.6667 0.6076
Hg2 0.3333 0.6667 0.8924
Hg3 0.6667 0.3333 0.1076
Hg4 0.6667 0.3333 0.3924

[15]
Below is a geometry-optimized TbPr7Tm4 structure, with properties calculated at the PBE level.

Values from the calculation:
Polymorph energy (0 for the lowest one)   0.0000 eV/atom
D(E_F)   15.5 states/eV per cell
Formation enthalpy at 0 K   0.01 eV per atom

Cell lengths 6.3434, 7.3070, 9.0057 Å; angles 89.97, 76.49, 89.96 degrees
Fractional positions:
Tb1 0.0000 0.0000 0.0000
Pr1 0.0000 0.5000 0.0000
Pr2 0.2219 0.0002 0.3348
Pr3 0.2813 0.2512 0.6646
Pr4 0.4988 0.7464 0.9966
Pr5 0.5012 0.2536 0.0034
Pr6 0.7187 0.7488 0.3354
Pr7 0.7781 0.9998 0.6652
Tm1 0.2187 0.5000 0.3370
Tm2 0.2767 0.7451 0.6665
Tm3 0.7233 0.2549 0.3335
Tm4 0.7813 0.5000 0.6630

[16]
Below is a geometry-optimized LiPaClF4 structure, with properties calculated at the PBE level.

Values from the calculation:
Energy relative to the elements, uncorrected   -3.2497 eV/atom
D(E_F)   1.6 states/eV per cell

Cell lengths 6.3590, 6.3590, 7.1066 Å; angles 104.48, 104.48, 69.41 degrees
Fractional positions:
Li1 0.1363 0.1363 0.2838
Li2 0.8637 0.8637 0.7162
Pa1 0.2678 0.2678 0.8755
Pa2 0.7322 0.7322 0.1245
Cl1 0.4908 0.4908 0.2260
Cl2 0.5092 0.5092 0.7740
F1 0.0223 0.3976 0.1446
F2 0.0521 0.0521 0.8037
F3 0.2119 0.2119 0.5568
F4 0.3976 0.0223 0.1446
F5 0.6024 0.9777 0.8554
F6 0.7881 0.7881 0.4432
F7 0.9479 0.9479 0.1963
F8 0.9777 0.6024 0.8554

[17]
Below is a geometry-optimized LiCd structure, with properties calculated at the PBE level.

Values from the calculation:
D(E_F)   5.7 states/eV per cell
Formation enthalpy at 0 K   -0.10 eV per atom

Cell lengths 7.8181, 7.8181, 4.8941 Å; angles 90.00, 90.00, 120.00 degrees
Fractional positions:
Li1 0.0584 0.8038 0.2500
Li2 0.1962 0.2546 0.2500
Li3 0.2546 0.0584 0.7500
Li4 0.7454 0.9416 0.2500
Li5 0.8038 0.7454 0.7500
Li6 0.9416 0.1962 0.7500
Cd1 0.0936 0.6251 0.7500
Cd2 0.3749 0.4686 0.7500
Cd3 0.4686 0.0936 0.2500
Cd4 0.5314 0.9064 0.7500
Cd5 0.6251 0.5314 0.2500
Cd6 0.9064 0.3749 0.2500

[18]
Below is a geometry-optimized TiAlPb2 structure, with properties calculated at the PBE level.

Values from the calculation:
D(E_F)   10.3 states/eV per cell
Formation enthalpy at 0 K   0.43 eV per atom

Cell lengths 6.4300, 6.4300, 6.4300 Å; angles 102.90, 102.90, 123.62 degrees
Fractional positions:
Ti1 0.0000 0.0000 0.0000
Ti2 0.7500 0.2500 0.5000
Al1 0.2500 0.7500 0.5000
Al2 0.5000 0.5000 0.0000
Pb1 0.1273 0.6250 0.0023
Pb2 0.3750 0.3773 0.5023
Pb3 0.6227 0.1250 0.9977
Pb4 0.8750 0.8727 0.4977

[19]
Below is a geometry-optimized CeTmCoAg structure, with properties calculated at the PBE level.

Values from the calculation:
D(E_F)   6.1 states/eV per cell
Formation enthalpy at 0 K   -0.10 eV per atom

Cell lengths 4.9573, 4.9573, 4.9573 Å; angles 60.00, 60.00, 60.00 degrees
Fractional positions:
Ce1 0.0000 0.0000 0.0000
Tm1 0.5000 0.5000 0.5000
Co1 0.7500 0.7500 0.7500
Ag1 0.2500 0.2500 0.2500

[20]
Below is a geometry-optimized Dy2PdAu6 structure, with properties calculated at the PBE level.

Values from the calculation:
D(E_F)   2.7 states/eV per cell
Formation enthalpy at 0 K   -0.61 eV per atom

Cell lengths 7.0531, 7.0531, 7.1079 Å; angles 111.99, 111.99, 32.94 degrees
Fractional positions:
Dy1 0.0615 0.0615 0.3183
Dy2 0.9385 0.9385 0.6817
Pd1 0.5000 0.5000 0.0000
Au1 0.1640 0.1640 0.0021
Au2 0.2729 0.2729 0.6758
Au3 0.3948 0.3948 0.3275
Au4 0.6052 0.6052 0.6725
Au5 0.7271 0.7271 0.3242
Au6 0.8360 0.8360 0.9979

no.,theoretical density (Mg/m³)
1,8.27
2,16.99
3,10.95
4,16.84
5,10.29
6,13.01
7,8.04
8,3.51
9,6.42
10,11.59
11,3.36
12,6.17
13,12.13
14,8.96
15,7.45
16,4.53
17,4.59
18,8.33
19,9.17
20,15.13